Entry 1:
A plane-wave DFT calculation with PBE was carried out for crystalline ZnGe2Rh at its relaxed geometry.

Values from the calculation:
* DFT formation energy: -0.161 eV/atom
* polymorph energy (0 for the lowest one): 0.000 eV per atom
* symmetry: R3m
* V: 68 Å³/cell

Cell lengths 4.190, 4.190, 5.083 Å; angles 65.66, 65.66, 60.00 degrees
Element x y z (fractional)
Rh: 0.679 0.679 0.963
Ge: 0.268 0.268 0.196
Ge: 0.066 0.066 0.803
Zn: 0.487 0.487 0.538

Entry 2:
A plane-wave DFT calculation with PBE was carried out for crystalline Zn2GeRh at its relaxed geometry.

Values from the calculation:
* DFT formation energy: -0.147 eV/atom
* symmetry: P4/mmm
* V: 58 Å³/cell

Cell lengths 3.972, 3.828, 3.828 Å; angles 90.00, 90.00, 90.00 degrees
Element x y z (fractional)
Rh: 0.500 0.000 0.000
Zn: 0.000 0.000 0.500
Zn: 0.000 0.500 0.000
Ge: 0.500 0.500 0.500

Entry 3:
A plane-wave DFT calculation with PBE was carried out for crystalline ZnGe2Rh at its relaxed geometry.

Values from the calculation:
* DFT formation energy: 0.017 eV/atom
* polymorph energy (0 for the lowest one): 0.178 eV per atom
* symmetry: I-42d
* V: 157 Å³/cell

Cell lengths 7.991, 7.991, 6.159 Å; angles 49.56, 49.56, 90.00 degrees
Element x y z (fractional)
Ge: 0.036 0.625 0.250
Ge: 0.375 0.286 0.750
Ge: 0.875 0.964 0.750
Ge: 0.714 0.125 0.250
Rh: 0.750 0.250 0.500
Rh: 0.000 0.000 0.000
Zn: 0.500 0.500 0.000
Zn: 0.250 0.750 0.500

Entry 4:
A plane-wave DFT calculation with PBE was carried out for crystalline Zn2GeRh at its relaxed geometry.

Values from the calculation:
* DFT formation energy: -0.016 eV/atom
* symmetry: Fm-3m
* V: 61 Å³/cell

Cell lengths 4.415, 4.415, 4.415 Å; angles 60.00, 60.00, 60.00 degrees
Element x y z (fractional)
Zn: 0.250 0.250 0.250
Zn: 0.750 0.750 0.750
Ge: 0.000 0.000 0.000
Rh: 0.500 0.500 0.500

Entry 5:
A plane-wave DFT calculation with PBE was carried out for crystalline Zn2GeRh at its relaxed geometry.

Values from the calculation:
* DFT formation energy: 0.069 eV/atom
* symmetry: I-42d
* V: 133 Å³/cell

Cell lengths 7.339, 7.339, 5.750 Å; angles 50.34, 50.34, 90.00 degrees
Element x y z (fractional)
Ge: 0.500 0.500 0.000
Ge: 0.250 0.750 0.500
Zn: 0.644 0.125 0.250
Zn: 0.875 0.894 0.750
Zn: 0.375 0.356 0.750
Zn: 0.106 0.625 0.250
Rh: 0.750 0.250 0.500
Rh: 0.000 0.000 0.000

Entry 6:
A plane-wave DFT calculation with PBE was carried out for crystalline ZnGeRh3 at its relaxed geometry.

Values from the calculation:
* DFT formation energy: -0.237 eV/atom
* polymorph energy (0 for the lowest one): 0.000 eV per atom
* symmetry: Cmcm
* V: 313 Å³/cell

Cell lengths 7.489, 6.523, 6.523 Å; angles 79.32, 90.00, 90.00 degrees
Element x y z (fractional)
Ge: 0.750 0.471 0.130
Ge: 0.750 0.870 0.529
Ge: 0.250 0.130 0.471
Ge: 0.250 0.529 0.870
Rh: 0.007 0.703 0.032
Rh: 0.000 0.370 0.370
Rh: 0.493 0.968 0.297
Rh: 0.493 0.703 0.032
Rh: 0.507 0.032 0.703
Rh: 0.507 0.297 0.968
Rh: 0.500 0.630 0.630
Rh: 0.993 0.032 0.703
Rh: 0.007 0.968 0.297
Rh: 0.000 0.630 0.630
Rh: 0.993 0.297 0.968
Rh: 0.500 0.370 0.370
Zn: 0.250 0.014 0.986
Zn: 0.250 0.659 0.341
Zn: 0.750 0.986 0.014
Zn: 0.750 0.341 0.659

Entry 7:
A plane-wave DFT calculation with PBE was carried out for crystalline ZnGeRh3 at its relaxed geometry.

Values from the calculation:
* DFT formation energy: 0.892 eV/atom
* polymorph energy (0 for the lowest one): 1.129 eV per atom
* symmetry: Pm-3m
* V: 92 Å³/cell

Cell lengths 4.514, 4.514, 4.514 Å; angles 90.00, 90.00, 90.00 degrees
Element x y z (fractional)
Rh: 0.500 0.000 0.000
Rh: 0.000 0.500 0.000
Rh: 0.000 0.000 0.500
Ge: 0.500 0.500 0.500
Zn: 0.000 0.000 0.000

Entry 8:
A plane-wave DFT calculation with PBE was carried out for crystalline ZrZnGe2Rh at its relaxed geometry.

Values from the calculation:
* DFT formation energy: 0.462 eV/atom
* symmetry: P4/mmm
* V: 99 Å³/cell

Cell lengths 4.645, 4.567, 4.645 Å; angles 90.00, 90.00, 90.00 degrees
Element x y z (fractional)
Zn: 0.000 0.000 0.000
Zr: 0.500 0.500 0.500
Ge: 0.500 0.000 0.000
Ge: 0.000 0.000 0.500
Rh: 0.000 0.500 0.000

Entry 9:
A plane-wave DFT calculation with PBE was carried out for crystalline ZrGe2Rh2 at its relaxed geometry.

Values from the calculation:
* DFT formation energy: -0.537 eV/atom
* symmetry: P4/mbm
* V: 160 Å³/cell

Cell lengths 7.448, 7.448, 2.875 Å; angles 90.00, 90.00, 90.00 degrees
Element x y z (fractional)
Rh: 0.354 0.146 0.500
Rh: 0.646 0.854 0.500
Rh: 0.146 0.646 0.500
Rh: 0.854 0.354 0.500
Ge: 0.351 0.851 0.000
Ge: 0.649 0.149 0.000
Ge: 0.851 0.649 0.000
Ge: 0.149 0.351 0.000
Zr: 0.500 0.500 0.000
Zr: 0.000 0.000 0.000

Entry 10:
A plane-wave DFT calculation with PBE was carried out for crystalline Zr2Ge2Rh at its relaxed geometry.

Values from the calculation:
* DFT formation energy: -0.843 eV/atom
* symmetry: P4/mbm
* V: 178 Å³/cell

Cell lengths 6.503, 6.503, 4.218 Å; angles 90.00, 90.00, 90.00 degrees
Element x y z (fractional)
Ge: 0.639 0.139 0.000
Ge: 0.361 0.861 0.000
Ge: 0.861 0.639 0.000
Ge: 0.139 0.361 0.000
Zr: 0.668 0.832 0.500
Zr: 0.168 0.668 0.500
Zr: 0.332 0.168 0.500
Zr: 0.832 0.332 0.500
Rh: 0.000 0.000 0.000
Rh: 0.500 0.500 0.000

Entry 11:
A plane-wave DFT calculation with PBE was carried out for crystalline ZrGeRh at its relaxed geometry.

Values from the calculation:
* DFT formation energy: -0.624 eV/atom
* symmetry: I4mm
* V: 51 Å³/cell

Cell lengths 3.113, 3.113, 5.659 Å; angles 105.96, 105.96, 90.00 degrees
Element x y z (fractional)
Rh: 0.931 0.931 0.863
Ge: 0.301 0.301 0.602
Zr: 0.618 0.618 0.235

Entry 12:
A plane-wave DFT calculation with PBE was carried out for crystalline Zr2GeRh at its relaxed geometry.

Values from the calculation:
* DFT formation energy: -0.774 eV/atom
* symmetry: P2_1/m
* V: 153 Å³/cell

Cell lengths 4.061, 5.526, 7.292 Å; angles 110.71, 90.00, 90.00 degrees
Element x y z (fractional)
Rh: 0.250 0.345 0.703
Rh: 0.750 0.655 0.297
Zr: 0.250 0.782 0.086
Zr: 0.750 0.204 0.434
Zr: 0.750 0.218 0.914
Zr: 0.250 0.796 0.566
Ge: 0.750 0.677 0.795
Ge: 0.250 0.323 0.205

Entry 13:
A plane-wave DFT calculation with PBE was carried out for crystalline ZrGe2Rh at its relaxed geometry.

Values from the calculation:
* DFT formation energy: -0.362 eV/atom
* symmetry: Fm-3m
* V: 67 Å³/cell

Cell lengths 4.566, 4.566, 4.566 Å; angles 60.00, 60.00, 60.00 degrees
Element x y z (fractional)
Zr: 0.000 0.000 0.000
Ge: 0.250 0.250 0.250
Ge: 0.750 0.750 0.750
Rh: 0.500 0.500 0.500

Entry 14:
A plane-wave DFT calculation with PBE was carried out for crystalline Zr2GeRh at its relaxed geometry.

Values from the calculation:
* DFT formation energy: 0.269 eV/atom
* symmetry: I-42d
* V: 209 Å³/cell

Cell lengths 5.390, 5.390, 8.133 Å; angles 70.65, 70.65, 90.00 degrees
Element x y z (fractional)
Zr: 0.875 0.889 0.750
Zr: 0.111 0.625 0.250
Zr: 0.639 0.125 0.250
Zr: 0.375 0.361 0.750
Ge: 0.500 0.500 0.000
Ge: 0.250 0.750 0.500
Rh: 0.000 0.000 0.000
Rh: 0.750 0.250 0.500

Entry 15:
A plane-wave DFT calculation with PBE was carried out for crystalline ZrGe4Rh6 at its relaxed geometry.

Values from the calculation:
* DFT formation energy: -0.644 eV/atom
* symmetry: P-6m2
* V: 170 Å³/cell

Cell lengths 3.773, 7.212, 7.212 Å; angles 120.00, 90.00, 90.00 degrees
Element x y z (fractional)
Ge: 0.500 0.804 0.609
Ge: 0.500 0.391 0.196
Ge: 0.500 0.804 0.196
Ge: 0.000 0.333 0.667
Rh: 0.500 0.611 0.806
Rh: 0.000 0.533 0.066
Rh: 0.000 0.533 0.467
Rh: 0.500 0.194 0.806
Rh: 0.500 0.194 0.389
Rh: 0.000 0.934 0.467
Zr: 0.000 0.000 0.000

Entry 16:
A plane-wave DFT calculation with PBE was carried out for crystalline ZrGe2Rh at its relaxed geometry.

Values from the calculation:
* DFT formation energy: -0.725 eV/atom
* symmetry: Pbam
* V: 806 Å³/cell

Cell lengths 8.102, 9.399, 10.583 Å; angles 90.00, 90.00, 90.00 degrees
Element x y z (fractional)
Ge: 0.500 0.136 0.095
Ge: 0.000 0.867 0.898
Ge: 0.348 0.157 0.817
Ge: 0.652 0.157 0.817
Ge: 0.000 0.633 0.398
Ge: 0.000 0.133 0.102
Ge: 0.500 0.864 0.905
Ge: 0.652 0.657 0.683
Ge: 0.652 0.843 0.183
Ge: 0.500 0.958 0.613
Ge: 0.000 0.459 0.885
Ge: 0.348 0.657 0.683
Ge: 0.500 0.364 0.595
Ge: 0.000 0.959 0.615
Ge: 0.500 0.042 0.387
Ge: 0.000 0.041 0.385
Ge: 0.348 0.843 0.183
Ge: 0.652 0.343 0.317
Ge: 0.000 0.367 0.602
Ge: 0.500 0.458 0.887
Ge: 0.000 0.541 0.115
Ge: 0.500 0.542 0.113
Ge: 0.500 0.636 0.405
Ge: 0.348 0.343 0.317
Zr: 0.244 0.170 0.547
Zr: 0.000 0.663 0.681
Zr: 0.244 0.670 0.953
Zr: 0.756 0.830 0.453
Zr: 0.000 0.337 0.319
Zr: 0.000 0.837 0.181
Zr: 0.244 0.830 0.453
Zr: 0.000 0.163 0.819
Zr: 0.756 0.670 0.953
Zr: 0.756 0.330 0.047
Zr: 0.244 0.330 0.047
Zr: 0.756 0.170 0.547
Rh: 0.252 0.404 0.755
Rh: 0.248 0.500 0.500
Rh: 0.252 0.596 0.245
Rh: 0.748 0.596 0.245
Rh: 0.748 0.096 0.255
Rh: 0.248 0.000 0.000
Rh: 0.252 0.096 0.255
Rh: 0.752 0.500 0.500
Rh: 0.748 0.904 0.745
Rh: 0.252 0.904 0.745
Rh: 0.748 0.404 0.755
Rh: 0.752 0.000 0.000

Entry 17:
A plane-wave DFT calculation with PBE was carried out for crystalline ZrGe2Rh at its relaxed geometry.

Values from the calculation:
* DFT formation energy: -0.617 eV/atom
* symmetry: I4/mmm
* V: 140 Å³/cell

Cell lengths 3.980, 3.980, 9.276 Å; angles 102.39, 102.39, 90.00 degrees
Element x y z (fractional)
Ge: 0.000 0.500 0.000
Ge: 0.664 0.664 0.328
Ge: 0.500 0.000 0.000
Ge: 0.336 0.336 0.672
Rh: 0.250 0.750 0.500
Rh: 0.750 0.250 0.500
Zr: 0.886 0.886 0.771
Zr: 0.114 0.114 0.229

Entry 18:
A plane-wave DFT calculation with PBE was carried out for crystalline ZrGeRh3 at its relaxed geometry.

Values from the calculation:
* DFT formation energy: 0.020 eV/atom
* polymorph energy (0 for the lowest one): 0.397 eV per atom
* symmetry: Pm-3m
* V: 92 Å³/cell

Cell lengths 4.510, 4.510, 4.510 Å; angles 90.00, 90.00, 90.00 degrees
Element x y z (fractional)
Rh: 0.500 0.000 0.000
Rh: 0.000 0.000 0.500
Rh: 0.000 0.500 0.000
Zr: 0.500 0.500 0.500
Ge: 0.000 0.000 0.000

Entry 19:
A plane-wave DFT calculation with PBE was carried out for crystalline Zr4GeRh at its relaxed geometry.

Values from the calculation:
* DFT formation energy: -0.620 eV/atom
* symmetry: I422
* V: 120 Å³/cell

Cell lengths 5.429, 5.429, 5.429 Å; angles 104.69, 104.69, 119.53 degrees
Element x y z (fractional)
Ge: 0.000 0.000 0.000
Zr: 0.409 0.591 0.500
Zr: 0.591 0.091 0.182
Zr: 0.091 0.909 0.500
Zr: 0.909 0.409 0.818
Rh: 0.500 0.500 0.000

Entry 20:
A plane-wave DFT calculation with PBE was carried out for crystalline ZrGeRh3 at its relaxed geometry.

Values from the calculation:
* DFT formation energy: 0.909 eV/atom
* polymorph energy (0 for the lowest one): 1.286 eV per atom
* symmetry: Pm-3m
* V: 111 Å³/cell

Cell lengths 4.802, 4.802, 4.802 Å; angles 90.00, 90.00, 90.00 degrees
Element x y z (fractional)
Rh: 0.000 0.500 0.000
Rh: 0.000 0.000 0.500
Rh: 0.500 0.000 0.000
Zr: 0.000 0.000 0.000
Ge: 0.500 0.500 0.500